## P
Entry from Alexandria: a geometry-optimized CaGa3Ru structure (PBE).

Output
The space group is No. 221. The spin magnetization comes out at 0.00 μB/atom.

a = 4.897 Å, b = 4.897 Å, c = 4.897 Å
α = 90.00°, β = 90.00°, γ = 90.00°
Fractional positions:
Ca 0.000 0.000 0.000
Ga 0.000 0.500 0.500
Ga 0.500 0.000 0.500
Ga 0.500 0.500 0.000
Ru 0.500 0.500 0.500

=====

## Q
Entry from Alexandria: a geometry-optimized CaGa3Ru structure (PBE).

Output
The space group is No. 221. The spin magnetization comes out at 0.54 μB/atom.

a = 5.250 Å, b = 5.250 Å, c = 5.250 Å
α = 90.00°, β = 90.00°, γ = 90.00°
Fractional positions:
Ca 0.000 0.000 0.000
Ga 0.000 0.000 0.500
Ga 0.000 0.500 0.000
Ga 0.500 0.000 0.000
Ru 0.500 0.500 0.500

=====

Computed relative energies in units of meV per atom: P 0; Q 1819

=====

## P
Entry from Alexandria: a geometry-optimized Ca3GaRu structure (PBE).

Output
The space group is No. 221. The spin magnetization comes out at 0.59 μB/atom.

a = 5.551 Å, b = 5.551 Å, c = 5.551 Å
α = 90.00°, β = 90.00°, γ = 90.00°
Fractional positions:
Ca 0.000 0.000 0.500
Ca 0.000 0.500 0.000
Ca 0.500 0.000 0.000
Ga 0.000 0.000 0.000
Ru 0.500 0.500 0.500

=====

## Q
Entry from Alexandria: a geometry-optimized Ca3GaRu structure (PBE).

Output
The space group is No. 221. The spin magnetization comes out at 0.00 μB/atom.

a = 5.409 Å, b = 5.409 Å, c = 5.409 Å
α = 90.00°, β = 90.00°, γ = 90.00°
Fractional positions:
Ca 0.000 0.000 0.500
Ca 0.000 0.500 0.000
Ca 0.500 0.000 0.000
Ga 0.500 0.500 0.500
Ru 0.000 0.000 0.000

=====

Computed relative energies in units of meV per atom: P 488; Q 0